# GGA-PBE TaCu2Cl, relaxed
data_TaCu2Cl
_cell_length_a 3.029
_cell_length_b 3.029
_cell_length_c 7.196
_cell_angle_alpha 90.00
_cell_angle_beta 90.00
_cell_angle_gamma 90.00
_space_group_name_H-M_alt 'P 1'
_space_group_IT_number 1
loop_
_space_group_symop_operation_xyz
'x,y,z'
loop_
_atom_site_label
_atom_site_fract_x
_atom_site_fract_y
_atom_site_fract_z
Ta1 0.000 0.000 0.000
Cu1 0.000 0.000 0.614
Cu2 0.500 0.500 0.780
Cl1 0.500 0.500 0.243
# SG: P4mm, No. 99
# Energy above the lowest structure with this stoichiometry, eV per atom: 0.085
# Magnetization, μB per cell: 0.0
# Crystal system: tetragonal